First-principles (PBE) data for a geometry-optimized Y3NpSb4 structure, as listed in Alexandria.

## Properties
Formation energy without anion corrections (eV per atom): -0.92
Spin magnetization (μB per formula unit): 3.947

Structure (CIF):
```
data_Y3NpSb4
_symmetry_space_group_name_H-M 'P 1 2/c 1'
_symmetry_Int_Tables_number 13
_cell_length_a 7.611
_cell_length_b 8.798
_cell_length_c 7.609
_cell_angle_alpha 90.00
_cell_angle_beta 109.50
_cell_angle_gamma 90.00
loop_
_symmetry_equiv_pos_as_xyz
'x,y,z'
'-x,-y,-z'
'-x,y,-z+1/2'
'x,-y,z+1/2'
loop_
_atom_site_label
_atom_site_fract_x
_atom_site_fract_y
_atom_site_fract_z
_atom_site_occupancy
Y1 0.000 0.124 0.250 1
Y2 0.000 0.373 0.750 1
Y3 0.500 0.124 0.750 1
Np1 0.500 0.374 0.250 1
Sb1 0.250 0.125 0.001 1
Sb2 0.250 0.375 0.499 1
```